{"formula": "LiOsRu2", "functional": "PBE", "state": "relaxed", "lattice_angstrom": [[2.883, 0.000, 0.000], [0.000, 4.336, 0.000], [0.000, 0.000, 8.479]], "species": ["Li", "Li", "Os", "Os", "Ru", "Ru", "Ru", "Ru"], "frac_coords": [[0.000, 0.000, 0.000], [0.500, 0.500, 0.500], [0.000, 0.500, 0.744], [0.500, 0.000, 0.244], [0.000, 0.000, 0.500], [0.000, 0.500, 0.262], [0.500, 0.000, 0.762], [0.500, 0.500, 0.000]], "energy_ev_per_atom": -7.673, "sg": "Imm2, No. 44", "relative_energy_ev_per_atom": 0.063, "crystal_system": "orthorhombic", "delta_e_f_ev_per_atom": 0.25}

---

{"formula": "LiOs2Ru", "functional": "PBE", "state": "relaxed", "lattice_angstrom": [[5.065, 0.000, 0.000], [0.000, 8.089, 0.000], [0.000, 0.000, 2.699]], "species": ["Li", "Li", "Os", "Os", "Os", "Os", "Ru", "Ru"], "frac_coords": [[0.000, 0.000, 0.000], [0.500, 0.500, 0.000], [0.250, 0.250, 0.500], [0.250, 0.750, 0.500], [0.750, 0.250, 0.500], [0.750, 0.750, 0.500], [0.000, 0.500, 0.000], [0.500, 0.000, 0.000]], "energy_ev_per_atom": -8.044, "sg": "Cmmm, No. 65", "crystal_system": "orthorhombic", "delta_e_f_ev_per_atom": 0.37}

---

{"formula": "LiOs2Ru", "functional": "PBE", "state": "relaxed", "lattice_angstrom": [[2.888, 0.000, 0.000], [0.000, 2.888, 0.000], [0.000, 0.000, 6.275]], "species": ["Li", "Os", "Os", "Ru"], "frac_coords": [[0.000, 0.000, 0.000], [0.000, 0.000, 0.503], [0.500, 0.500, 0.235], [0.500, 0.500, 0.777]], "energy_ev_per_atom": -8.103, "sg": "P4mm, No. 99", "crystal_system": "tetragonal", "delta_e_f_ev_per_atom": 0.31}

---

Number 1 is which compound? LiOsRu2